VASP calculation (GGA-PBE) on a relaxed Ge2OsC crystal.

The formation energy comes out at 923 meV/atom. The calculation puts the calculated total energy at -103.988 eV/cell. The density of states at the Fermi level comes out at 6.524 states/eV/cell.

The structure belongs to space group I-42d (No. 122); the cell edges are 5.301, 5.301 and 9.310 Å and the angles 90.00°, 90.00° and 90.00°. The distinct sites, in fractional coordinates, are Ge at (0.187, 0.250, 0.125), Os at (0.000, 0.000, 0.500) and C at (0.000, 0.000, 0.000).